1.
An optimized crystal structure of SmIn4Ag4, computed with GGA-PBE.

Cell lengths 6.423, 6.423, 10.024 Å; angles 90.00, 90.00, 90.00 degrees
Fractional positions:
Sm: 0.250 0.750 0.250
Sm: 0.750 0.250 0.750
In: 0.010 0.250 0.030
In: 0.250 0.010 0.530
In: 0.250 0.490 0.530
In: 0.490 0.250 0.030
In: 0.510 0.750 0.970
In: 0.750 0.510 0.470
In: 0.750 0.990 0.470
In: 0.990 0.750 0.970
Ag: 0.036 0.250 0.314
Ag: 0.250 0.036 0.814
Ag: 0.250 0.464 0.814
Ag: 0.464 0.250 0.314
Ag: 0.536 0.750 0.686
Ag: 0.750 0.536 0.186
Ag: 0.750 0.964 0.186
Ag: 0.964 0.750 0.686

Summary:
Its calculated volume is 23.0 Å³/atom. The calculation puts the energy of formation at -0.12 eV per atom.

2.
An optimized crystal structure of TbPa2GaN5, computed with GGA-PBE.

Cell lengths 7.057, 7.057, 11.016 Å; angles 90.00, 90.00, 151.63 degrees
Fractional positions:
Tb: 0.213 0.787 0.500
Tb: 0.787 0.213 0.000
Pa: 0.125 0.875 0.766
Pa: 0.139 0.861 0.215
Pa: 0.861 0.139 0.715
Pa: 0.875 0.125 0.266
Ga: 0.497 0.503 0.506
Ga: 0.503 0.497 0.006
N: 0.047 0.953 0.574
N: 0.288 0.712 0.842
N: 0.295 0.705 0.162
N: 0.367 0.633 0.584
N: 0.475 0.525 0.325
N: 0.525 0.475 0.825
N: 0.633 0.367 0.084
N: 0.705 0.295 0.662
N: 0.712 0.288 0.342
N: 0.953 0.047 0.074

Summary:
The calculation puts the uncorrected formation energy at -1.223 eV/atom. Its calculated volume is 14.5 Å³/atom.

3.
An optimized crystal structure of LiAlOs, computed with GGA-PBE.

Cell lengths 2.607, 4.070, 7.721 Å; angles 90.00, 90.00, 90.00 degrees
Fractional positions:
Li: 0.000 0.000 0.000
Li: 0.500 0.500 0.500
Al: 0.000 0.000 0.326
Al: 0.500 0.500 0.826
Os: 0.000 0.000 0.671
Os: 0.500 0.500 0.171

Summary:
Its calculated volume is 13.7 Å³/atom. The calculation puts the energy of formation at -0.12 eV per atom.

4.
An optimized crystal structure of LaCd3Au2, computed with GGA-PBE.

Cell lengths 8.768, 8.768, 8.621 Å; angles 116.51, 116.51, 29.43 degrees
Fractional positions:
La: 0.138 0.138 0.053
La: 0.862 0.862 0.947
Cd: 0.048 0.048 0.396
Cd: 0.311 0.311 0.537
Cd: 0.391 0.391 0.290
Cd: 0.609 0.609 0.710
Cd: 0.689 0.689 0.463
Cd: 0.952 0.952 0.604
Au: 0.221 0.221 0.753
Au: 0.480 0.480 0.830
Au: 0.520 0.520 0.170
Au: 0.779 0.779 0.247

Summary:
Its calculated volume is 24.1 Å³/atom. The calculation puts the energy of formation at -0.43 eV per atom.

5.
An optimized crystal structure of Ca2HgOs, computed with GGA-PBE.

Cell lengths 3.442, 3.483, 7.859 Å; angles 90.00, 90.00, 90.00 degrees
Fractional positions:
Ca: 0.000 0.000 0.213
Ca: 0.000 0.000 0.787
Hg: 0.500 0.500 0.500
Os: 0.500 0.500 0.000

Summary:
Its calculated volume is 23.6 Å³/atom. The calculation puts the energy of formation at 0.14 eV per atom.

6.
An optimized crystal structure of La5Ho6, computed with GGA-PBE.

Cell lengths 8.125, 8.125, 6.501 Å; angles 99.89, 99.89, 111.73 degrees
Fractional positions:
La: 0.000 0.000 0.000
La: 0.132 0.868 0.500
La: 0.262 0.738 0.000
La: 0.738 0.262 0.000
La: 0.868 0.132 0.500
Ho: 0.202 0.451 0.324
Ho: 0.341 0.341 0.804
Ho: 0.451 0.202 0.324
Ho: 0.549 0.798 0.676
Ho: 0.659 0.659 0.196
Ho: 0.798 0.549 0.676

Summary:
Its calculated volume is 34.5 Å³/atom. The calculation puts the energy of formation at 0.14 eV per atom.

7.
An optimized crystal structure of CrPbBr2, computed with GGA-PBE.

Cell lengths 3.594, 6.658, 9.838 Å; angles 90.00, 90.00, 90.00 degrees
Fractional positions:
Cr: 0.000 0.000 0.000
Cr: 0.500 0.500 0.000
Pb: 0.000 0.000 0.500
Pb: 0.500 0.500 0.500
Br: 0.000 0.500 0.184
Br: 0.000 0.500 0.816
Br: 0.500 0.000 0.184
Br: 0.500 0.000 0.816

Summary:
The calculation puts the uncorrected formation energy at -0.230 eV/atom. Its calculated volume is 29.4 Å³/atom.

8.
An optimized crystal structure of Er6Zn2Cd, computed with GGA-PBE.

Cell lengths 8.507, 8.507, 8.507 Å; angles 111.23, 109.49, 107.71 degrees
Fractional positions:
Er: 0.035 0.819 0.216
Er: 0.243 0.538 0.295
Er: 0.243 0.948 0.705
Er: 0.272 0.318 0.590
Er: 0.272 0.682 0.955
Er: 0.397 0.181 0.216
Er: 0.603 0.819 0.784
Er: 0.728 0.318 0.045
Er: 0.728 0.682 0.410
Er: 0.757 0.052 0.295
Er: 0.757 0.462 0.705
Er: 0.965 0.181 0.784
Zn: 0.000 0.136 0.136
Zn: 0.000 0.864 0.864
Zn: 0.375 0.375 0.000
Zn: 0.625 0.625 0.000
Cd: 0.000 0.500 0.500
Cd: 0.500 0.000 0.500

Summary:
Its calculated volume is 26.3 Å³/atom. The calculation puts the energy of formation at -0.20 eV per atom.

9.
An optimized crystal structure of GaSb2Cl8, computed with GGA-PBE.

Cell lengths 7.780, 7.780, 8.296 Å; angles 94.80, 94.80, 54.76 degrees
Fractional positions:
Ga: 0.000 0.000 0.000
Sb: 0.146 0.146 0.368
Sb: 0.854 0.854 0.632
Cl: 0.067 0.067 0.739
Cl: 0.100 0.618 0.841
Cl: 0.321 0.321 0.417
Cl: 0.382 0.900 0.159
Cl: 0.618 0.100 0.841
Cl: 0.679 0.679 0.583
Cl: 0.900 0.382 0.159
Cl: 0.933 0.933 0.261

Summary:
The calculation puts the uncorrected formation energy at -0.769 eV/atom. Its calculated volume is 37.1 Å³/atom.

10.
An optimized crystal structure of Hg2SbP, computed with GGA-PBE.

Cell lengths 3.864, 3.899, 13.732 Å; angles 90.00, 90.00, 90.00 degrees
Fractional positions:
Hg: 0.000 0.000 0.195
Hg: 0.000 0.000 0.805
Hg: 0.500 0.500 0.305
Hg: 0.500 0.500 0.695
Sb: 0.000 0.500 0.000
Sb: 0.500 0.000 0.500
P: 0.000 0.500 0.500
P: 0.500 0.000 0.000

Summary:
The calculation puts the uncorrected formation energy at 0.277 eV/atom. Its calculated volume is 25.9 Å³/atom.

11.
An optimized crystal structure of TiMo2P4, computed with GGA-PBE.

Cell lengths 4.601, 4.601, 12.102 Å; angles 90.00, 90.00, 90.00 degrees
Fractional positions:
Ti: 0.000 0.000 0.000
Ti: 0.500 0.500 0.500
Mo: 0.000 0.000 0.396
Mo: 0.000 0.000 0.604
Mo: 0.500 0.500 0.104
Mo: 0.500 0.500 0.896
P: 0.000 0.000 0.208
P: 0.000 0.000 0.792
P: 0.000 0.500 0.000
P: 0.000 0.500 0.500
P: 0.500 0.000 0.000
P: 0.500 0.000 0.500
P: 0.500 0.500 0.292
P: 0.500 0.500 0.708

Summary:
Its calculated volume is 18.3 Å³/atom. The calculation puts the energy of formation at 0.31 eV per atom.

12.
An optimized crystal structure of KSb2Pd2, computed with GGA-PBE.

Cell lengths 6.853, 6.857, 6.989 Å; angles 99.10, 99.19, 113.77 degrees
Fractional positions:
K: 0.113 0.384 0.248
K: 0.887 0.616 0.752
Sb: 0.228 0.275 0.748
Sb: 0.494 0.006 0.250
Sb: 0.506 0.994 0.750
Sb: 0.772 0.725 0.252
Pd: 0.183 0.966 0.443
Pd: 0.467 0.684 0.944
Pd: 0.533 0.316 0.056
Pd: 0.817 0.034 0.557

Summary:
The calculation puts the uncorrected formation energy at -0.409 eV/atom. Its calculated volume is 28.8 Å³/atom.